Record 1
Density functional theory data (PBE) for a relaxed Sc2ReAs crystal.

Properties
As for the space-group type: P4/mmm (123). For the total moment, the calculation gives 0.000 μB/atom. Its energy relative to the elements is -0.4701 eV/atom.

abc: 4.490 4.490 3.495
angles: 90.00 90.00 90.01
Fractional positions:
1 As 0.500 0.000 0.500
2 Re 0.000 0.500 0.500
3 Sc 0.000 0.000 0.000
4 Sc 0.500 0.500 0.000

=====

Record 2
Density functional theory data (PBE) for a relaxed Sc2ReAs crystal.

Properties
As for the space-group type: Cmmm (65). For the total moment, the calculation gives 0.000 μB/atom. Its energy relative to the elements is -0.3660 eV/atom.

abc: 3.087 3.087 7.967
angles: 90.00 90.00 106.32
Fractional positions:
1 As 0.500 0.500 0.250
2 Re 0.500 0.500 0.750
3 Sc 0.000 0.000 0.999
4 Sc 0.000 0.000 0.501

=====

Record 3
Density functional theory data (PBE) for a relaxed Sc3ReAs crystal.

Properties
As for the space-group type: Pm-3m (221). For the total moment, the calculation gives 0.000 μB/atom. The energy above the most stable polymorph in this dataset comes out at 0.0 meV per atom. Its energy relative to the elements is 0.2044 eV/atom.

abc: 4.989 4.989 4.989
angles: 90.00 90.00 90.00
Fractional positions:
1 Sc 0.000 0.500 0.000
2 Sc 0.000 0.000 0.500
3 Sc 0.500 0.000 0.000
4 Re 0.000 0.000 0.000
5 As 0.500 0.500 0.500

=====

Record 4
Density functional theory data (PBE) for a relaxed Sc2ReAs crystal.

Properties
As for the space-group type: I-42d (122). For the total moment, the calculation gives 0.000 μB/atom. Its energy relative to the elements is 0.1448 eV/atom.

abc: 7.279 7.279 5.915
angles: 52.03 52.03 90.00
Fractional positions:
1 Sc 0.633 0.125 0.250
2 Sc 0.117 0.625 0.250
3 Sc 0.375 0.367 0.750
4 Sc 0.875 0.883 0.750
5 Re 0.000 0.000 0.000
6 Re 0.750 0.250 0.500
7 As 0.500 0.500 0.000
8 As 0.250 0.750 0.500

=====

Record 5
Density functional theory data (PBE) for a relaxed Sc2ReAs crystal.

Properties
As for the space-group type: Cm (8). For the total moment, the calculation gives 0.000 μB/atom. Its energy relative to the elements is -0.3745 eV/atom.

abc: 5.442 5.442 4.607
angles: 74.10 74.10 34.39
Fractional positions:
1 As 0.534 0.534 0.511
2 Re 0.224 0.224 0.232
3 Sc 0.980 0.980 0.045
4 Sc 0.763 0.763 0.712

=====

Record 6
Density functional theory data (PBE) for a relaxed Sc2ReAs crystal.

Properties
As for the space-group type: Pmmm (47). For the total moment, the calculation gives 0.000 μB/atom. Its energy relative to the elements is -0.5302 eV/atom.

abc: 3.452 3.419 6.917
angles: 60.38 90.00 90.00
Fractional positions:
1 As 0.500 0.250 0.250
2 Re 0.500 0.750 0.750
3 Sc 0.000 0.002 0.998
4 Sc 0.000 0.498 0.502

=====

Record 7
Density functional theory data (PBE) for a relaxed Sc2ReAs crystal.

Properties
As for the space-group type: R-3m (166). For the total moment, the calculation gives 0.000 μB/atom. Its energy relative to the elements is 0.0886 eV/atom.

abc: 9.636 9.636 9.636
angles: 19.00 19.00 19.00
Fractional positions:
1 Sc 0.903 0.903 0.903
2 Sc 0.097 0.097 0.097
3 Re 0.500 0.500 0.500
4 As 0.000 0.000 0.000

=====

Record 8
Density functional theory data (PBE) for a relaxed Sc2ReAs crystal.

Properties
As for the space-group type: P4mm (99). For the total moment, the calculation gives 0.053 μB/atom. Its energy relative to the elements is -0.2260 eV/atom.

abc: 3.203 3.203 7.530
angles: 90.00 90.00 90.00
Fractional positions:
1 As 0.000 0.000 0.546
2 Re 0.500 0.500 0.707
3 Sc 0.000 0.000 0.948
4 Sc 0.500 0.500 0.298